Material: Fe2CoP
Method: DFT, PBE
State: relaxed

Lattice parameters (Å, degrees): 3.733 3.414 3.414 90.00 90.00 90.00
Positions (direct):
Co: 0.500 0.000 0.500
Fe: 0.000 0.000 0.000
Fe: 0.000 0.500 0.500
P: 0.500 0.500 0.000

- E_form (kJ/mol of formula units) = -56
- DFT total energy (eV/cell) = -30.02
- density of states at the Fermi level (states/eV/f.u.) = 3.6
- magnetic moment (μB/f.u.) = 4.578

***

Material: SrPmNiPt
Method: DFT, PBE
State: relaxed

Lattice parameters (Å, degrees): 5.067 5.067 5.067 60.00 60.00 60.00
Positions (direct):
Ni: 0.000 0.000 0.000
Sr: 0.750 0.750 0.750
Pt: 0.500 0.500 0.500
Pm: 0.250 0.250 0.250

- E_form (kJ/mol of formula units) = -181
- DFT total energy (eV/cell) = -20.14
- density of states at the Fermi level (states/eV/f.u.) = 1.5
- magnetic moment (μB/f.u.) = 0.000

***

Material: Li2NdTm2Ga2
Method: DFT, PBE
State: relaxed

Lattice parameters (Å, degrees): 4.644 4.644 9.091 75.20 75.20 60.00
Positions (direct):
Ga: 0.744 0.744 0.768
Ga: 0.256 0.256 0.232
Nd: 0.000 0.000 0.000
Li: 0.593 0.593 0.220
Li: 0.407 0.407 0.780
Tm: 0.872 0.872 0.385
Tm: 0.128 0.128 0.615

- E_form (kJ/mol of formula units) = -189
- DFT total energy (eV/cell) = -25.55
- density of states at the Fermi level (states/eV/f.u.) = 5.4
- magnetic moment (μB/f.u.) = 0.000

***

Material: Sm3DyY2Er6
Method: DFT, PBE
State: relaxed

Lattice parameters (Å, degrees): 6.153 6.153 11.742 95.00 95.00 119.97
Positions (direct):
Er: 0.083 0.416 0.249
Er: 0.750 0.750 0.249
Er: 0.250 0.250 0.751
Er: 0.584 0.917 0.751
Er: 0.917 0.584 0.751
Er: 0.416 0.083 0.249
Sm: 0.833 0.167 0.500
Sm: 0.167 0.833 0.500
Sm: 0.500 0.500 0.500
Y: 0.667 0.333 0.000
Y: 0.333 0.667 0.000
Dy: 0.000 0.000 0.000

- E_form (kJ/mol of formula units) = 24
- DFT total energy (eV/cell) = -58.82
- density of states at the Fermi level (states/eV/f.u.) = 16.4
- magnetic moment (μB/f.u.) = 0.000

***

Material: BeCo2CuH
Method: DFT, PBE
State: relaxed

Lattice parameters (Å, degrees): 3.504 3.504 3.591 90.00 90.00 90.00
Positions (direct):
Co: 0.000 0.500 0.000
Co: 0.500 0.000 0.000
H: 0.000 0.000 0.000
Be: 0.500 0.500 0.500
Cu: 0.000 0.000 0.500

- DFT total energy (eV/cell) = -25.09
- density of states at the Fermi level (states/eV/f.u.) = 4.5
- magnetic moment (μB/f.u.) = 1.889

***

Material: Ac2YIr9
Method: DFT, PBE
State: relaxed

Lattice parameters (Å, degrees): 5.407 5.407 9.577 73.60 73.60 60.00
Positions (direct):
Ir: 0.424 0.424 0.235
Ir: 0.576 0.576 0.765
Ir: 0.424 0.917 0.235
Ir: 0.332 0.332 0.005
Ir: 0.668 0.668 0.995
Ir: 0.576 0.083 0.765
Ir: 0.500 0.500 0.500
Ir: 0.083 0.576 0.765
Ir: 0.917 0.424 0.235
Y: 0.000 0.000 0.000
Ac: 0.861 0.861 0.418
Ac: 0.139 0.139 0.582

- E_form (kJ/mol of formula units) = -503
- DFT total energy (eV/cell) = -99.65
- density of states at the Fermi level (states/eV/f.u.) = 9.9
- magnetic moment (μB/f.u.) = 0.000

***

Material: Y4C
Method: DFT, PBE
State: relaxed

Lattice parameters (Å, degrees): 3.564 3.564 12.574 90.00 90.00 120.00
Positions (direct):
Y: 0.667 0.333 0.107
Y: 0.333 0.667 0.611
Y: 0.333 0.667 0.893
Y: 0.667 0.333 0.389
C: 0.000 0.000 0.000

- E_form (kJ/mol of formula units) = -45
- DFT total energy (eV/cell) = -35.55
- relative energy among the computed polymorphs (meV/atom) = 0
- density of states at the Fermi level (states/eV/f.u.) = 5.8
- magnetic moment (μB/f.u.) = 0.115

***

Material: MgCoRh3
Method: DFT, PBE
State: relaxed

Lattice parameters (Å, degrees): 4.483 4.483 4.483 90.00 90.00 90.00
Positions (direct):
Rh: 0.000 0.500 0.000
Rh: 0.000 0.000 0.500
Rh: 0.500 0.000 0.000
Co: 0.000 0.000 0.000
Mg: 0.500 0.500 0.500

- E_form (kJ/mol of formula units) = 312
- DFT total energy (eV/cell) = -27.52
- relative energy among the computed polymorphs (meV/atom) = 0
- density of states at the Fermi level (states/eV/f.u.) = 5.5
- magnetic moment (μB/f.u.) = 3.696

***

Material: NaLaAs
Method: DFT, PBE
State: relaxed

Lattice parameters (Å, degrees): 4.551 6.006 8.063 90.00 106.27 90.00
Positions (direct):
La: 0.318 0.750 0.137
La: 0.682 0.250 0.863
As: 0.697 0.750 0.894
As: 0.303 0.250 0.106
Na: 0.931 0.250 0.365
Na: 0.069 0.750 0.635

- E_form (kJ/mol of formula units) = -221
- DFT total energy (eV/cell) = -26.37
- density of states at the Fermi level (states/eV/f.u.) = 1.4
- magnetic moment (μB/f.u.) = 0.000

***

Material: Tb4ErMg
Method: DFT, PBE
State: relaxed

Lattice parameters (Å, degrees): 3.560 3.560 14.350 90.00 90.00 90.00
Positions (direct):
Tb: 0.000 0.000 0.654
Tb: 0.000 0.000 0.346
Tb: 0.500 0.500 0.826
Tb: 0.500 0.500 0.174
Mg: 0.500 0.500 0.500
Er: 0.000 0.000 0.000

- E_form (kJ/mol of formula units) = -9
- DFT total energy (eV/cell) = -24.77
- relative energy among the computed polymorphs (meV/atom) = 0
- density of states at the Fermi level (states/eV/f.u.) = 7.8
- magnetic moment (μB/f.u.) = 0.000

***

Material: AlCu3PbSe4
Method: DFT, PBE
State: relaxed

Lattice parameters (Å, degrees): 6.050 6.050 6.050 90.00 90.00 90.00
Positions (direct):
Cu: 0.000 0.500 0.000
Cu: 0.500 0.000 0.000
Cu: 0.000 0.000 0.500
Al: 0.000 0.000 0.000
Se: 0.227 0.227 0.227
Se: 0.773 0.227 0.773
Se: 0.227 0.773 0.773
Se: 0.773 0.773 0.227
Pb: 0.500 0.500 0.500

- DFT total energy (eV/cell) = -36.29
- magnetic moment (μB/f.u.) = 0.000
- formation energy without anion corrections (meV per atom) = -290

***

Material: TaBiOs2Rh
Method: DFT, PBE
State: relaxed

Lattice parameters (Å, degrees): 4.733 5.308 4.733 90.00 90.00 90.00
Positions (direct):
Ta: 0.000 0.000 0.000
Rh: 0.500 0.500 0.500
Bi: 0.000 0.500 0.000
Os: 0.000 0.000 0.500
Os: 0.500 0.000 0.000

- E_form (kJ/mol of formula units) = 990
- DFT total energy (eV/cell) = -35.28
- density of states at the Fermi level (states/eV/f.u.) = 7.3
- magnetic moment (μB/f.u.) = 0.784

***

Material: BaMn2Rh
Method: DFT, PBE
State: relaxed

Lattice parameters (Å, degrees): 5.280 5.280 5.280 130.17 130.17 73.14
Positions (direct):
Mn: 0.000 0.000 0.000
Mn: 0.500 0.500 0.000
Rh: 0.250 0.750 0.500
Ba: 0.750 0.250 0.500

- E_form (kJ/mol of formula units) = 252
- DFT total energy (eV/cell) = -25.00
- density of states at the Fermi level (states/eV/f.u.) = 3.0
- magnetic moment (μB/f.u.) = 8.831

***

Material: BiRuN2F
Method: DFT, PBE
State: relaxed

Lattice parameters (Å, degrees): 4.345 4.345 4.329 90.00 90.00 90.00
Positions (direct):
N: 0.000 0.500 0.000
N: 0.500 0.000 0.000
Bi: 0.000 0.000 0.000
Ru: 0.500 0.500 0.500
F: 0.000 0.000 0.500

- DFT total energy (eV/cell) = -24.61
- relative energy among the computed polymorphs (meV/atom) = 1121
- density of states at the Fermi level (states/eV/f.u.) = 5.5
- magnetic moment (μB/f.u.) = 3.960
- formation energy without anion corrections (meV per atom) = 1414

***

Material: BeTcCl2
Method: DFT, PBE
State: relaxed

Lattice parameters (Å, degrees): 4.077 3.108 5.038 95.50 90.00 90.00
Positions (direct):
Cl: 0.000 0.035 0.000
Cl: 0.000 0.465 0.500
Be: 0.500 0.750 0.750
Tc: 0.500 0.250 0.250

- DFT total energy (eV/cell) = -15.74
- relative energy among the computed polymorphs (meV/atom) = 764
- density of states at the Fermi level (states/eV/f.u.) = 1.9
- magnetic moment (μB/f.u.) = 1.243
- formation energy without anion corrections (meV per atom) = 510

***

Material: Li2Mg2Pb
Method: DFT, PBE
State: relaxed

Lattice parameters (Å, degrees): 7.846 7.846 3.688 90.00 90.00 90.00
Positions (direct):
Mg: 0.864 0.636 0.000
Mg: 0.636 0.136 0.000
Mg: 0.136 0.364 0.000
Mg: 0.364 0.864 0.000
Pb: 0.000 0.000 0.000
Pb: 0.500 0.500 0.000
Li: 0.840 0.340 0.500
Li: 0.340 0.160 0.500
Li: 0.660 0.840 0.500
Li: 0.160 0.660 0.500

- E_form (kJ/mol of formula units) = -23
- DFT total energy (eV/cell) = -21.93
- relative energy among the computed polymorphs (meV/atom) = 27
- density of states at the Fermi level (states/eV/f.u.) = 2.2
- magnetic moment (μB/f.u.) = 0.000

***

Material: Er2HPb
Method: DFT, PBE
State: relaxed

Lattice parameters (Å, degrees): 4.508 4.508 8.469 90.01 90.01 90.00
Positions (direct):
Er: 0.250 0.750 0.500
Er: 0.750 0.750 0.845
Er: 0.250 0.250 0.155
Er: 0.750 0.250 0.500
H: 0.750 0.750 0.579
H: 0.250 0.250 0.421
Pb: 0.250 0.250 0.785
Pb: 0.750 0.750 0.215

- DFT total energy (eV/cell) = -36.59
- relative energy among the computed polymorphs (meV/atom) = 0
- density of states at the Fermi level (states/eV/f.u.) = 2.1
- magnetic moment (μB/f.u.) = 0.000

***

Material: ErTmIn2S6
Method: DFT, PBE
State: relaxed

Lattice parameters (Å, degrees): 6.758 6.758 7.201 62.01 62.01 59.99
Positions (direct):
Tm: 0.316 0.315 0.054
S: 0.221 0.909 0.254
S: 0.118 0.407 0.755
S: 0.407 0.720 0.755
S: 0.909 0.617 0.254
S: 0.617 0.221 0.254
S: 0.720 0.118 0.755
Er: 0.815 0.815 0.555
In: 0.521 0.520 0.439
In: 0.020 0.020 0.940

- DFT total energy (eV/cell) = -51.92
- density of states at the Fermi level (states/eV/f.u.) = 0.0
- magnetic moment (μB/f.u.) = 0.000
- formation energy without anion corrections (meV per atom) = -1264

***

Material: LaDyAs2
Method: DFT, PBE
State: relaxed

Lattice parameters (Å, degrees): 4.205 4.205 7.628 74.00 74.00 60.00
Positions (direct):
Dy: 0.498 0.498 0.506
La: 0.669 0.669 0.992
As: 0.086 0.086 0.742
As: 0.246 0.246 0.261

- E_form (kJ/mol of formula units) = -533
- DFT total energy (eV/cell) = -24.35
- relative energy among the computed polymorphs (meV/atom) = 164
- density of states at the Fermi level (states/eV/f.u.) = 0.3
- magnetic moment (μB/f.u.) = 0.000

***

Material: La2CeSc
Method: DFT, PBE
State: relaxed

Lattice parameters (Å, degrees): 3.410 3.410 12.441 82.12 82.12 60.00
Positions (direct):
Sc: 0.500 0.500 0.500
La: 0.913 0.913 0.262
La: 0.087 0.087 0.738
Ce: 0.000 0.000 0.000

- E_form (kJ/mol of formula units) = 80
- DFT total energy (eV/cell) = -21.29
- relative energy among the computed polymorphs (meV/atom) = 120
- density of states at the Fermi level (states/eV/f.u.) = 9.4
- magnetic moment (μB/f.u.) = 0.603